VASP calculation (GGA-PBE) on Na3Pm2ErTe6 after structural relaxation.

a = 7.760 Å, b = 13.443 Å, c = 8.003 Å
α = 90.00°, β = 108.89°, γ = 90.00°
Space group C2/m (No. 12)
Unique sites:
Na  0.000  0.000  0.000 [2 per cell]
Na  0.000  0.331  0.000 [4 per cell]
Pm  0.000  0.166  0.500 [4 per cell]
Er  0.000  0.500  0.500 [2 per cell]
Te  0.241  0.337  0.735 [8 per cell]
Te  0.247  0.500  0.265 [4 per cell]

For the total energy, the calculation gives -4.39 eV/atom. For the volume, the calculation gives 32.9 A^3/atom. The theoretical density comes out at 5.43 g/cm3. For the formation energy without anion corrections, the calculation gives -1.320 eV/atom.